An optimized crystal structure of AlHgN2. Source: Alexandria via LeMat-Bulk, functional PBE.

abc: 6.183 6.183 6.183
angles: 33.47 33.47 33.47
Fractional positions:
N  0.898  0.898  0.898
N  0.102  0.102  0.102
Hg  0.500  0.500  0.500
Al  0.000  0.000  0.000

Calculated values
* ΔE to the lowest computed polymorph: 840 meV per atom
* uncorrected formation energy: 0.9955 eV per atom
* magnetic moment: 0.00 Bohr magnetons per cell
* calculated density: 6631 kg/m3
* D(E_F): 2.218 states/eV/f.u.